A plane-wave DFT calculation with PBE was carried out for BaTc2Rh after structural relaxation.

a = 10.367 Å, b = 10.367 Å, c = 10.367 Å
α = 16.25°, β = 16.25°, γ = 16.25°
Sites, in units of the cell vectors:
Rh1 0.750 0.750 0.750
Tc1 0.485 0.485 0.485
Tc2 0.015 0.015 0.015
Ba1 0.250 0.250 0.250

relative energy among the computed polymorphs = 0.626 eV/atom
calculated formation energy = 1.008 eV/atom
total moment = 0.0 μB per formula unit
SG = R-3m, No. 166

A plane-wave DFT calculation with PBE was carried out for Cs2Ho2ZrS6 after structural relaxation.

a = 6.809 Å, b = 6.809 Å, c = 8.574 Å
α = 97.86°, β = 97.86°, γ = 119.76°
Sites, in units of the cell vectors:
S1 0.379 0.061 0.676
S2 0.742 0.742 0.675
S3 0.621 0.939 0.324
S4 0.061 0.379 0.676
S5 0.939 0.621 0.324
S6 0.258 0.258 0.325
Zr1 0.000 0.000 0.500
Ho1 0.667 0.333 0.500
Ho2 0.333 0.667 0.500
Cs1 0.831 0.169 0.000
Cs2 0.169 0.831 0.000

formation energy without anion corrections = -41.39 kcal/mol of atoms
total moment = 0.0 μB per formula unit
SG = C2/m, No. 12

A plane-wave DFT calculation with PBE was carried out for SrDyBi2 after structural relaxation.

a = 4.758 Å, b = 4.758 Å, c = 8.032 Å
α = 72.77°, β = 72.77°, γ = 60.00°
Sites, in units of the cell vectors:
Bi1 0.091 0.091 0.726
Bi2 0.242 0.242 0.274
Sr1 0.669 0.669 0.992
Dy1 0.497 0.497 0.509

relative energy among the computed polymorphs = 0.087 eV/atom
calculated formation energy = -0.676 eV/atom
total moment = 0.0 μB per formula unit
SG = R3m, No. 160

A plane-wave DFT calculation with PBE was carried out for BaSr2Bi after structural relaxation.

a = 4.657 Å, b = 4.657 Å, c = 8.038 Å
α = 90.00°, β = 90.00°, γ = 90.00°
Each line ends with the local moment (μB).
Sites, in units of the cell vectors:
Ba1 0.500 0.500 0.500  0.05
Sr1 0.000 0.000 0.790  0.01
Sr2 0.000 0.000 0.210  0.01
Bi1 0.500 0.500 0.000  -0.01

calculated formation energy = -0.392 eV/atom
total moment = 0.3 μB per formula unit
SG = P4/mmm, No. 123

What did the fourth record say?
A plane-wave DFT calculation with PBE was carried out for BaSr2Bi after structural relaxation.

a = 4.657 Å, b = 4.657 Å, c = 8.038 Å
α = 90.00°, β = 90.00°, γ = 90.00°
Each line ends with the local moment (μB).
Sites, in units of the cell vectors:
Ba1 0.500 0.500 0.500  0.05
Sr1 0.000 0.000 0.790  0.01
Sr2 0.000 0.000 0.210  0.01
Bi1 0.500 0.500 0.000  -0.01

calculated formation energy = -0.392 eV/atom
total moment = 0.3 μB per formula unit
SG = P4/mmm, No. 123

> What is the total moment in the second record?

0.0 μB per formula unit